Computed, not measured: a geometry-optimized Sc2GaHRh structure at the PBE level of DFT.

```
5
Lattice="4.477 0.000 0.000 0.000 4.477 0.000 0.000 0.000 3.686" Properties=species:S:1:pos:R:3 pbc="T T T"
Sc 0.000 2.239 0.000
Sc 2.239 0.000 0.000
Ga 0.000 0.000 1.843
H 2.239 2.239 0.000
Rh 2.239 2.239 1.843
```

offset from the most stable computed form: 0.00 kcal/mol of atoms
total moment: 0.00 μB/cell
DFT total energy: -29.923 eV per cell